Computed, not measured: crystalline PuHg2Bi at its relaxed geometry at the PBE-GGA level of DFT.

Lattice parameters (Å, degrees): 5.6747 3.4014 5.9222 90.00 107.63 90.00
Space group P2/m (No. 10)
Inequivalent atoms, fractional coordinates:
Pu1 0.0000 0.0000 0.0000 (multiplicity 1)
Hg1 0.0000 0.5000 0.5000 (multiplicity 1)
Hg2 0.5000 0.0000 0.5000 (multiplicity 1)
Bi1 0.5000 0.5000 0.0000 (multiplicity 1)

Summary:
- D(E_F) (states/eV per cell) = 11.3
- energy of formation from the pure elements (eV per atom) = -0.123
- DFT total energy (eV per atom) = -4.83